Entry 1:
Here is SmYCo4 after structural relaxation from Alexandria. Energies are from PBE-GGA.

Computed properties:
formation energy	-12.9	kJ per mole of atoms

```
SmYCo4
1.0
5.1089 0.0000 0.0000
-2.5545 4.4244 0.0000
2.5545 1.4748 4.1714
Sm Y Co
1 1 4
direct
0.5000 0.7500 0.7500
0.0000 0.0000 0.0000
0.7497 0.3749 0.8754
0.2503 0.3749 0.3749
0.2503 0.8754 0.3749
0.7497 0.3749 0.3749
```


Entry 2:
Here is Sm3Y3Co2 after structural relaxation from Alexandria. Energies are from PBE-GGA.

Computed properties:
formation energy	-2.7	kJ per mole of atoms

```
Sm3Y3Co2
1.0
3.6338 0.0000 0.0000
-1.8169 6.6731 0.0000
0.0000 0.0000 18.5348
Sm Y Co
6 6 4
direct
0.6780 0.3559 0.4324
0.3220 0.6441 0.9324
0.6780 0.3559 0.0676
0.3220 0.6441 0.5676
0.4545 0.9090 0.2500
0.5455 0.0910 0.7500
0.9335 0.8670 0.4139
0.0665 0.1330 0.9139
0.9335 0.8670 0.0861
0.0665 0.1330 0.5861
0.7311 0.4622 0.2500
0.2689 0.5378 0.7500
0.6946 0.3892 0.8565
0.3054 0.6108 0.3565
0.6946 0.3892 0.6435
0.3054 0.6108 0.1435
```


Entry 3:
Here is SmY6Co2 after structural relaxation from Alexandria. Energies are from PBE-GGA.

Computed properties:
formation energy	-4.1	kJ per mole of atoms

```
SmY6Co2
1.0
0.2193 -8.5692 0.0825
7.5204 3.4190 2.2890
-5.8853 2.6827 5.6259
Sm Y Co
2 12 4
direct
0.0000 0.5000 0.5000
0.0000 0.0000 0.0000
0.4754 0.2893 0.1861
0.5246 0.7107 0.8139
0.8968 0.7107 0.1861
0.1032 0.2893 0.8139
0.2156 0.7604 0.9761
0.7844 0.2396 0.0239
0.7844 0.7604 0.5448
0.2156 0.2396 0.4552
0.3156 0.9966 0.6809
0.6844 0.0034 0.3191
0.6844 0.3653 0.6809
0.3156 0.6347 0.3191
0.5000 0.3884 0.8884
0.5000 0.6116 0.1116
0.3114 0.0000 0.3114
0.6886 0.0000 0.6886
```


Entry 4:
Here is Sm2Y3Co2 after structural relaxation from Alexandria. Energies are from PBE-GGA.

Computed properties:
formation energy	-12.4	kJ per mole of atoms

```
Sm2Y3Co2
1.0
-3.4228 0.3854 1.2018
3.3578 -2.4574 4.8143
0.6980 8.9466 -0.8814
Sm Y Co
2 3 2
direct
0.8274 0.6547 0.1968
0.1726 0.3453 0.8032
0.5000 0.0000 0.0000
0.6181 0.2362 0.4238
0.3819 0.7638 0.5762
0.8213 0.6426 0.7585
0.1787 0.3574 0.2415
```


Entry 5:
Here is Sm6YCo3 after structural relaxation from Alexandria. Energies are from PBE-GGA.

Computed properties:
formation energy	0.9	kJ per mole of atoms

```
Sm6YCo3
1.0
-1.5809 4.9494 4.8642
-2.9156 -6.0063 5.1638
7.7114 -0.8134 3.3339
Sm Y Co
12 2 6
direct
0.1235 0.7024 0.7029
0.6235 0.7029 0.7024
0.3730 0.5504 0.0079
0.8730 0.0079 0.5504
0.1207 0.0012 0.9988
0.5992 0.2973 0.7027
0.0992 0.7027 0.2973
0.6207 0.9988 0.0012
0.3730 0.9921 0.4496
0.8730 0.4496 0.9921
0.1235 0.2971 0.2976
0.6235 0.2976 0.2971
0.1524 0.2979 0.7021
0.6524 0.7021 0.2979
0.3718 0.9959 0.7497
0.8718 0.7497 0.9959
0.3764 0.5048 0.4952
0.8764 0.4952 0.5048
0.8718 0.0041 0.2503
0.3718 0.2503 0.0041
```


Entry 6:
Here is Sm12YCo6 after structural relaxation from Alexandria. Energies are from PBE-GGA.

Computed properties:
formation energy	-7.2	kJ per mole of atoms

```
Sm12YCo6
1.0
8.1429 0.0000 -2.8789
-4.0714 7.0519 -2.8789
0.0000 0.0000 8.6368
Sm Y Co
12 1 6
direct
0.3098 0.1151 0.8053
0.3098 0.5046 0.1947
0.6902 0.4954 0.8053
0.6902 0.8849 0.1947
0.1151 0.8053 0.3098
0.5046 0.1947 0.3098
0.4954 0.8053 0.6902
0.8849 0.1947 0.6902
0.8053 0.3098 0.1151
0.1947 0.3098 0.5046
0.8053 0.6902 0.4954
0.1947 0.6902 0.8849
0.0000 0.0000 0.0000
0.3882 0.5000 0.8882
0.6118 0.5000 0.1118
0.5000 0.8882 0.3882
0.5000 0.1118 0.6118
0.8882 0.3882 0.5000
0.1118 0.6118 0.5000
```


Entry 7:
Here is SmY2Co9 after structural relaxation from Alexandria. Energies are from PBE-GGA.

Computed properties:
formation energy	-13.8	kJ per mole of atoms

```
SmY2Co9
1.0
-0.7507 1.7173 -4.6483
3.5598 -0.5592 -3.4835
-2.2660 -6.7646 -4.8353
Sm Y Co
1 2 9
direct
0.0000 0.0000 0.0000
0.8600 0.8600 0.4200
0.1400 0.1400 0.5800
0.6651 0.6651 0.0046
0.3349 0.3349 0.9954
0.5000 0.5000 0.5000
0.4172 0.4172 0.2444
0.9212 0.4172 0.2444
0.4172 0.9212 0.2444
0.5828 0.5828 0.7556
0.5828 0.0788 0.7556
0.0788 0.5828 0.7556
```


Entry 8:
Here is Sm2Y5Co2 after structural relaxation from Alexandria. Energies are from PBE-GGA.

Computed properties:
formation energy	-5.1	kJ per mole of atoms

```
Sm2Y5Co2
1.0
6.6661 0.0000 2.4197
0.0000 7.0539 0.0000
-0.0533 0.0000 10.5387
Sm Y Co
4 10 4
direct
0.2319 0.0000 0.5362
0.7319 0.5000 0.5362
0.7681 0.0000 0.4638
0.2681 0.5000 0.4638
0.0000 0.0000 0.0000
0.5000 0.5000 0.0000
0.4245 0.1776 0.7892
0.7863 0.8224 0.7892
0.2863 0.6776 0.7892
0.9245 0.3224 0.7892
0.5755 0.8224 0.2108
0.2137 0.1776 0.2108
0.7137 0.3224 0.2108
0.0755 0.6776 0.2108
0.1114 0.3911 0.0000
0.8886 0.6089 0.0000
0.3886 0.8911 0.0000
0.6114 0.1089 0.0000
```


These records have Fermi-level density of states values of 8.4 18.2 22.4 8.0 19.7 17.9 16.7 21.1 states/eV per cell, in the order they appear.